Material: SmNbN2O
Method: DFT, PBE
State: optimized geometry

a b c (Å): 7.9840 8.0363 11.1825
angles (deg): 90.00 134.11 90.00
Fractional coordinates of all 40 atoms:
N (0.6877, 0.0454, 0.0000)
N (0.3123, 0.9546, 0.0000)
N (0.9716, 0.7463, 0.1922)
N (0.1961, 0.0401, 0.1971)
N (0.5232, 0.2481, 0.2171)
N (0.4768, 0.7481, 0.2829)
N (0.8039, 0.5401, 0.3029)
N (0.0284, 0.2463, 0.3078)
N (0.6877, 0.4546, 0.5000)
N (0.3123, 0.5454, 0.5000)
N (0.9716, 0.7537, 0.6922)
N (0.1961, 0.4599, 0.6971)
N (0.5232, 0.2519, 0.7171)
N (0.4768, 0.7519, 0.7829)
N (0.8039, 0.9599, 0.8029)
N (0.0284, 0.2537, 0.8078)
Nb (0.9874, 0.0087, 0.2342)
Nb (0.4809, 0.0123, 0.2352)
Nb (0.5191, 0.5123, 0.2648)
Nb (0.0126, 0.5087, 0.2658)
Nb (0.9874, 0.4913, 0.7342)
Nb (0.4809, 0.4877, 0.7352)
Nb (0.5191, 0.9877, 0.7648)
Nb (0.0126, 0.9913, 0.7658)
O (0.3015, 0.5504, 0.0015)
O (0.1895, 0.4508, 0.1879)
O (0.8105, 0.9508, 0.3121)
O (0.6985, 0.0504, 0.4985)
O (0.3015, 0.9496, 0.5015)
O (0.1895, 0.0492, 0.6879)
O (0.8105, 0.5492, 0.8121)
O (0.6985, 0.4496, 0.9985)
Sm (0.0530, 0.7425, 0.0254)
Sm (0.5512, 0.7418, 0.0272)
Sm (0.4488, 0.2418, 0.4728)
Sm (0.9470, 0.2425, 0.4746)
Sm (0.0530, 0.7575, 0.5254)
Sm (0.5512, 0.7582, 0.5272)
Sm (0.4488, 0.2582, 0.9728)
Sm (0.9470, 0.2575, 0.9746)

Calculated values
- space group = P2_1/c (14)
- calculated total energy (eV/atom) = -9.04
- crystal system = monoclinic